An optimized crystal structure of NaSrSiSe2. Source: the Alexandria database, functional PBE.

The structure in CIF format:
```
data_NaSrSiSe2
_chemical_formula_sum 'Na1 Sr1 Si1 Se2'
_symmetry_space_group_name_H-M 'P 4/m m m'
_symmetry_Int_Tables_number 123
_symmetry_space_group_name_Hall '-P 4 2'
_cell_length_a 5.1612
_cell_length_b 5.1612
_cell_length_c 5.2135
_cell_angle_alpha 90.00
_cell_angle_beta 90.00
_cell_angle_gamma 90.00
loop_
_atom_site_label
_atom_site_fract_x
_atom_site_fract_y
_atom_site_fract_z
_atom_site_occupancy
Na1 0.0000 0.0000 0.0000 1
Sr1 0.0000 0.0000 0.5000 1
Si1 0.5000 0.5000 0.5000 1
Se1 0.0000 0.5000 0.0000 1
```

Calculated values
DOS(E_F): 3.39 states/eV per cell
Crystal system: tetragonal
DFT total energy: -2.86 eV/atom
Raw formation energy: 0.218 eV per atom